1.
The following is a DFT calculation (PBE) of a relaxed structure of Y2Nb2Cd.

As for the relative energy among the computed polymorphs: 1.220 eV/f.u. The calculated total energy is -6.31 eV/atom. The calculation puts the density of states at the Fermi level at 5.96 states/eV/f.u. The total magnetization comes out at 0.0 μB per formula unit.

The space group is P4/mbm (No. 127) and the conventional cell measures 8.864, 8.864 and 3.388 Å, with angles of 90.00, 90.00 and 90.00 degrees. The distinct sites, in fractional coordinates, are Y at (0.196, 0.304, 0.000), Nb at (0.093, 0.593, 0.500) and Cd at (0.000, 0.000, 0.000).


2.
The following is a DFT calculation (PBE) of a relaxed structure of AuSeBr2.

As for the relative energy among the computed polymorphs: 2.933 eV/f.u. The formation energy without anion corrections is 0.69 eV per atom. The calculated total energy is -1.84 eV/atom. The calculation puts the density of states at the Fermi level at 4.36 states/eV/f.u. The total magnetization comes out at 2.0 μB per formula unit.

The space group is Fm-3m (No. 225) and the conventional cell measures 7.258, 7.258 and 7.258 Å, with angles of 90.00, 90.00 and 90.00 degrees. The distinct sites, in fractional coordinates, are Au at (0.000, 0.000, 0.000), Se at (0.000, 0.000, 0.500) and Br at (0.250, 0.250, 0.250).